Material: Er2BeGaCu6
Method: DFT, GGA-PBE
State: optimized geometry

Values from the calculation:
* electronic total energy: -41.75 eV/cell
* magnetic moment: 0.0 Bohr magnetons per cell

Cell: 5.846 5.846 6.393 Å, 116.69 116.69 60.27°
Fractional coordinates of all 10 atoms:
Er: 0.222 0.222 0.161
Er: 0.778 0.778 0.839
Be: 0.000 0.000 0.500
Ga: 0.500 0.500 0.000
Cu: 0.239 0.670 0.650
Cu: 0.240 0.240 0.657
Cu: 0.330 0.761 0.350
Cu: 0.670 0.239 0.650
Cu: 0.760 0.760 0.343
Cu: 0.761 0.330 0.350